This record from Alexandria via LeMat-Bulk describes a relaxed LiCrSi3O8 crystal. The functional is PBE with a Hubbard U.

Calculated values
* magnetization: 0.230 μB/atom
* volume: 11.61 A^3/atom
* energy: -7.373 eV/atom
* energy above the lowest structure with this stoichiometry: 0.0000 eV/atom

The structure in CIF format:
```
data_LiCrSi3O8
_chemical_formula_sum 'Li2 Cr2 Si6 O16'
_cell_length_a 5.462
_cell_length_b 7.234
_cell_length_c 8.465
_cell_angle_alpha 69.33
_cell_angle_beta 77.41
_cell_angle_gamma 77.59
_space_group_name_H-M_alt 'P -1'
_space_group_IT_number 2
_space_group_name_Hall '-P 1'
loop_
_atom_site_label
_atom_site_type_symbol
_atom_site_fract_x
_atom_site_fract_y
_atom_site_fract_z
Li1 Li 0.222 0.379 0.280
Cr1 Cr 0.237 0.907 0.093
Si1 Si 0.214 0.360 0.827
Si2 Si 0.216 0.776 0.760
Si3 Si 0.357 0.704 0.490
O1 O 0.060 0.760 0.619
O2 O 0.071 0.657 0.185
O3 O 0.128 0.938 0.861
O4 O 0.239 0.545 0.894
O5 O 0.299 0.871 0.314
O6 O 0.359 0.433 0.613
O7 O 0.373 0.175 0.961
O8 O 0.491 0.775 0.621
```